Computed, not measured: a relaxed SmScTe crystal at the PBE-GGA level of DFT.

```
SmScTe
1.0
4.309 0.000 0.000
0.000 4.309 0.000
0.000 0.000 8.475
Sm Sc Te
2 2 2
direct
0.250 0.250 0.141 Sm
0.750 0.750 0.859 Sm
0.250 0.750 0.500 Sc
0.750 0.250 0.500 Sc
0.250 0.250 0.756 Te
0.750 0.750 0.244 Te
```

## Properties
* calculated volume: 26.22 A^3/atom
* formation energy (no corrections): -0.92 eV per atom
* crystal system: tetragonal
* E above lowest polymorph: 0.000 eV/atom
* density of states at the Fermi level: 2.00 states/eV/f.u.